[1]
# Na4PH5Se3O16 meta-GGA SCAN single point on PBEsol structure
data_Na4PH5Se3O16
_chemical_formula_sum 'Na4 P1 H5 Se3 O16'
_space_group_name_H-M_alt 'P 1'
_space_group_IT_number 1
_space_group_name_Hall 'P 1'
_cell_length_a 7.068
_cell_length_b 7.094
_cell_length_c 7.119
_cell_angle_alpha 80.02
_cell_angle_beta 80.10
_cell_angle_gamma 85.00
loop_
_atom_site_label
_atom_site_fract_x
_atom_site_fract_y
_atom_site_fract_z
Na1 0.000 0.000 0.000
Na2 0.064 0.338 0.589
Na3 0.389 0.874 0.646
Na4 0.686 0.521 0.946
P1 0.483 0.959 0.082
H1 0.027 0.663 0.269
H2 0.316 0.140 0.274
H3 0.544 0.689 0.278
H4 0.656 0.170 0.858
H5 0.765 0.185 0.332
Se1 0.153 0.458 0.046
Se2 0.562 0.374 0.525
Se3 0.913 0.867 0.541
O1 0.008 0.365 0.931
O2 0.022 0.659 0.117
O3 0.031 0.671 0.464
O4 0.053 0.975 0.649
O5 0.186 0.323 0.254
O6 0.335 0.974 0.953
O7 0.353 0.522 0.906
O8 0.385 0.232 0.593
O9 0.402 0.015 0.286
O10 0.492 0.603 0.477
O11 0.580 0.754 0.134
O12 0.658 0.087 0.990
O13 0.696 0.330 0.310
O14 0.716 0.331 0.683
O15 0.717 0.807 0.695
O16 0.861 0.007 0.339
# size of the total moment	0.16	μB/cell
# total DFT energy (no corrections)	-8.439	eV/atom

***

[2]
# LiScZn4 meta-GGA SCAN single point on PBEsol structure
data_LiScZn4
_chemical_formula_sum 'Li4 Sc4 Zn16'
_space_group_name_H-M_alt 'F -4 3 m'
_space_group_IT_number 216
_space_group_name_Hall 'F -4 2 3'
_cell_length_a 7.218
_cell_length_b 7.218
_cell_length_c 7.218
_cell_angle_alpha 90.00
_cell_angle_beta 90.00
_cell_angle_gamma 90.00
loop_
_atom_site_label
_atom_site_fract_x
_atom_site_fract_y
_atom_site_fract_z
Li1 0.000 0.000 0.000
Sc1 0.250 0.250 0.250
Zn1 0.125 0.125 0.625
# size of the total moment	0.00	μB/cell
# total DFT energy (no corrections)	-12.104	eV/atom

***

[3]
# SrTa2RuPb meta-GGA SCAN single point on PBEsol structure
data_SrTa2RuPb
_chemical_formula_sum 'Sr1 Ta2 Ru1 Pb1'
_space_group_name_H-M_alt 'P 4/m m m'
_space_group_IT_number 123
_space_group_name_Hall '-P 4 2'
_cell_length_a 4.966
_cell_length_b 4.966
_cell_length_c 4.663
_cell_angle_alpha 90.00
_cell_angle_beta 90.00
_cell_angle_gamma 90.00
loop_
_atom_site_label
_atom_site_fract_x
_atom_site_fract_y
_atom_site_fract_z
Sr1 0.000 0.000 0.000
Ta1 0.000 0.500 0.000
Ru1 0.000 0.000 0.500
Pb1 0.500 0.500 0.500
# size of the total moment	0.00	μB/cell
# total DFT energy (no corrections)	-50.380	eV/atom

***

[4]
# CrPSN2 meta-GGA SCAN single point on PBEsol structure
data_CrPSN2
_chemical_formula_sum 'Cr1 P1 S1 N2'
_space_group_name_H-M_alt 'P 4/m m m'
_space_group_IT_number 123
_space_group_name_Hall '-P 4 2'
_cell_length_a 3.586
_cell_length_b 3.586
_cell_length_c 4.818
_cell_angle_alpha 90.00
_cell_angle_beta 90.00
_cell_angle_gamma 90.00
loop_
_atom_site_label
_atom_site_fract_x
_atom_site_fract_y
_atom_site_fract_z
Cr1 0.000 0.000 0.000
P1 0.500 0.500 0.500
S1 0.000 0.000 0.500
N1 0.000 0.500 0.000
# size of the total moment	0.53	μB/cell
# total DFT energy (no corrections)	-10.735	eV/atom

***

[5]
# Li4MnF8 meta-GGA SCAN single point on PBEsol structure
data_Li4MnF8
_chemical_formula_sum 'Li4 Mn1 F8'
_space_group_name_H-M_alt 'P 1 2 1'
_space_group_IT_number 3
_space_group_name_Hall 'P 2y'
_cell_length_a 5.007
_cell_length_b 5.921
_cell_length_c 5.087
_cell_angle_alpha 90.00
_cell_angle_beta 110.78
_cell_angle_gamma 90.00
loop_
_atom_site_label
_atom_site_fract_x
_atom_site_fract_y
_atom_site_fract_z
Li1 0.000 0.000 0.000
Li2 0.000 0.200 0.500
Li3 0.000 0.754 0.500
Li4 0.500 0.807 0.000
Mn1 0.000 0.487 0.000
F1 0.204 0.972 0.756
F2 0.205 0.498 0.769
F3 0.213 0.268 0.223
F4 0.231 0.709 0.214
# offset from the most stable computed form	0	meV per atom
# size of the total moment	2.94	μB/cell

***

[6]
# K2SbP meta-GGA SCAN single point on PBEsol structure
data_K2SbP
_chemical_formula_sum 'K4 Sb2 P2'
_space_group_name_H-M_alt 'A m m 2'
_space_group_IT_number 38
_space_group_name_Hall 'A 2 -2'
_cell_length_a 4.118
_cell_length_b 5.346
_cell_length_c 11.776
_cell_angle_alpha 90.00
_cell_angle_beta 90.00
_cell_angle_gamma 90.00
loop_
_atom_site_label
_atom_site_fract_x
_atom_site_fract_y
_atom_site_fract_z
K1 0.000 0.000 0.000
K2 0.500 0.000 0.277
Sb1 0.500 0.000 0.581
P1 0.000 0.000 0.715
# offset from the most stable computed form	0	meV per atom
# size of the total moment	0.00	μB/cell

***

| no. | density of states at the Fermi level (states/eV/f.u.) |
| --- | --- |
| 1 | 0.000 |
| 2 | 2.033 |
| 3 | 5.301 |
| 4 | 1.870 |
| 5 | 0.000 |
| 6 | 1.194 |